FeSbO2F: relaxed, GGA+U.

Cell lengths 4.0089, 4.0089, 3.9860 Å; angles 90.00, 90.00, 90.00 degrees
Closest atoms and distances in Å follow each position.
Sites, in units of the cell vectors:
1 Sb 0.5000 0.5000 0.5000  8 O 2.83, 4 F 2.83
2 O 0.0000 0.5000 0.0000  2 Fe 2.00
3 O 0.5000 0.0000 0.0000  2 Fe 2.00
4 F 0.0000 0.0000 0.5000  2 Fe 1.99
5 Fe 0.0000 0.0000 0.0000  2 F 1.99, 4 O 2.00

## Properties
- Calculated total energy: -26.9 eV for the cell shown
- Crystal system: tetragonal
- DOS(E_F): 1.9 states/eV per cell
- Symmetry: P4/mmm (123)
- Spin magnetization: 4.77 μB/cell